# Rb2AuI

A relaxed structure of Rb2AuI (PBE-GGA, the Alexandria database).

## Properties
Relative energy among the computed polymorphs in meV/atom: 24
E_form (uncorrected) in eV/atom: -0.85
VASP energy in eV/atom: -2.543

```
data_Rb2AuI
_space_group_name_H-M_alt 'P 4/m m m'
_space_group_IT_number 123
_space_group_name_Hall '-P 4 2'
_cell_length_a 4.3535
_cell_length_b 4.3535
_cell_length_c 8.6741
_cell_angle_alpha 90.00
_cell_angle_beta 90.00
_cell_angle_gamma 90.00
loop_
_atom_site_label
_atom_site_fract_x
_atom_site_fract_y
_atom_site_fract_z
Rb1 0.0000 0.0000 0.2421
Au1 0.5000 0.5000 0.0000
I1 0.5000 0.5000 0.5000
```